No. 1
Computed, not measured: an optimized crystal structure of Sr3SbW at the PBE-GGA level of DFT.

Summary:
The formation energy (no corrections) is 0.791 eV/atom. The energy above the most stable polymorph in this dataset is 0 kJ/mol of formula units.

Unit cell a=5.7120 b=5.7120 c=5.7120 alpha=90.00 beta=90.00 gamma=90.00
With the nearest neighbours (Å) after each atom.
Fractional coordinates of all 5 atoms:
Sb 0.5000 0.5000 0.5000  12 Sr 4.04
W 0.0000 0.0000 0.0000  6 Sr 2.86
Sr 0.0000 0.5000 0.0000  2 W 2.86
Sr 0.0000 0.0000 0.5000  2 W 2.86
Sr 0.5000 0.0000 0.0000  2 W 2.86

---

No. 2
Computed, not measured: an optimized crystal structure of SrSb2W at the PBE-GGA level of DFT.

Summary:
The formation energy (no corrections) is 0.332 eV/atom. The energy above the most stable polymorph in this dataset is 131 kJ/mol of formula units.

Unit cell a=3.2702 b=4.3685 c=7.7873 alpha=90.00 beta=90.00 gamma=90.00
With the nearest neighbours (Å) after each atom.
Fractional coordinates of all 4 atoms:
Sb 0.0000 0.0000 0.9020  4 W 2.74
Sb 0.5000 0.5000 0.2365  1 W 2.80
Sr 0.0000 0.0000 0.4845  5 Sb 3.25-3.34, 2 Sr 3.27
W 0.5000 0.5000 0.8770  5 Sb 2.74-2.80

---

No. 3
Computed, not measured: an optimized crystal structure of Sr3SbW at the PBE-GGA level of DFT.

Summary:
The formation energy (no corrections) is 0.819 eV/atom. The energy above the most stable polymorph in this dataset is 13 kJ/mol of formula units.

Unit cell a=6.2118 b=6.2118 c=6.2118 alpha=90.00 beta=90.00 gamma=90.00
With the nearest neighbours (Å) after each atom.
Fractional coordinates of all 5 atoms:
Sb 0.0000 0.0000 0.0000  6 Sr 3.11
W 0.5000 0.5000 0.5000  12 Sr 4.39
Sr 0.0000 0.5000 0.0000  2 Sb 3.11
Sr 0.0000 0.0000 0.5000  2 Sb 3.11
Sr 0.5000 0.0000 0.0000  2 Sb 3.11

---

No. 4
Computed, not measured: an optimized crystal structure of SrSb4W at the PBE-GGA level of DFT.

Summary:
The formation energy (no corrections) is 0.716 eV/atom.

Unit cell a=6.2632 b=6.2632 c=6.2632 alpha=60.00 beta=60.00 gamma=60.00
With the nearest neighbours (Å) after each atom.
Fractional coordinates of all 6 atoms:
Sr 0.7500 0.7500 0.7500  12 Sb 3.67, 4 W 3.84
Sb 0.8768 0.3744 0.3744  6 Sb 3.12-3.15
Sb 0.3744 0.3744 0.8768  6 Sb 3.12-3.15
Sb 0.3744 0.8768 0.3744  6 Sb 3.12-3.15
Sb 0.3744 0.3744 0.3744  6 Sb 3.12-3.15
W 0.0000 0.0000 0.0000  12 Sb 3.67, 4 Sr 3.84

---

Result set for spin magnetization: 0.000; 0.000; 5.942; 4.213 μB/f.u., one per record in the order listed.